4
Lattice="3.183 0.000 0.000 0.000 3.183 0.000 0.000 0.000 7.514" Properties=species:S:1:pos:R:3 comment="TmTi2Tc PBE optimized geometry" e_form_ev_per_atom=-0.14 space_group="P4/mmm (123)" mass_density_g_cm3=7.9 pbc="T T T"
Tm 1.592 1.592 3.757
Tc 1.592 1.592 0.000
Ti 0.000 0.000 6.093
Ti 0.000 0.000 1.421